Record 1
# Ta2CuMo

A geometry-optimized Ta2CuMo structure (PBE-GGA, Alexandria via LeMat-Bulk).

Size of the total moment = 0.0 μB/cell
Crystal system = tetragonal
Space group = No. 122
Calculated formation energy = 0.6341 eV per atom

Unit cell a=7.140 b=7.140 c=5.731 alpha=51.47 beta=51.47 gamma=90.00
Element x y z (fractional)
Ta 0.616 0.125 0.250
Cu 0.500 0.500 0.000
Mo 0.000 0.000 0.000
Ta 0.375 0.384 0.750
Mo 0.750 0.250 0.500
Ta 0.875 0.866 0.750
Ta 0.134 0.625 0.250
Cu 0.250 0.750 0.500


Record 2
# Ta2CuMo

A geometry-optimized Ta2CuMo structure (PBE-GGA, Alexandria via LeMat-Bulk).

Size of the total moment = 0.0 μB/cell
Crystal system = tetragonal
Space group = No. 123
Calculated formation energy = 0.1319 eV per atom

Unit cell a=2.722 b=2.722 c=8.760 alpha=90.00 beta=90.00 gamma=90.00
Element x y z (fractional)
Ta 0.000 0.000 0.019
Mo 0.500 0.500 0.750
Ta 0.000 0.000 0.481
Cu 0.500 0.500 0.250


Record 3
# TaCu3Mo

A geometry-optimized TaCu3Mo structure (PBE-GGA, Alexandria via LeMat-Bulk).

Size of the total moment = 0.0 μB/cell
Crystal system = cubic
Space group = No. 221
Calculated formation energy = 1.7021 eV per atom

Unit cell a=4.497 b=4.497 c=4.497 alpha=90.00 beta=90.00 gamma=90.00
Element x y z (fractional)
Cu 0.000 0.000 0.500
Cu 0.500 0.000 0.000
Ta 0.500 0.500 0.500
Mo 0.000 0.000 0.000
Cu 0.000 0.500 0.000


Record 4
# Ta2CuMo

A geometry-optimized Ta2CuMo structure (PBE-GGA, Alexandria via LeMat-Bulk).

Size of the total moment = 0.0 μB/cell
Crystal system = monoclinic
Space group = No. 12
Calculated formation energy = 0.1307 eV per atom

Unit cell a=5.262 b=5.444 c=2.740 alpha=79.92 beta=80.22 gamma=118.15
Element x y z (fractional)
Mo 0.500 0.000 0.500
Cu 0.500 0.500 0.000
Ta 0.000 0.000 0.000
Ta 0.000 0.500 0.500


Record 5
# Ta2CuMo

A geometry-optimized Ta2CuMo structure (PBE-GGA, Alexandria via LeMat-Bulk).

Size of the total moment = 0.0 μB/cell
Crystal system = orthorhombic
Space group = No. 47
Calculated formation energy = 0.1257 eV per atom

Unit cell a=3.557 b=4.398 c=4.133 alpha=90.00 beta=90.00 gamma=90.00
Element x y z (fractional)
Ta 0.500 0.500 0.000
Ta 0.000 0.000 0.000
Mo 0.000 0.500 0.500
Cu 0.500 0.000 0.500


Record 6
# TaCuMo4

A geometry-optimized TaCuMo4 structure (PBE-GGA, Alexandria via LeMat-Bulk).

Size of the total moment = 0.0 μB/cell
Crystal system = cubic
Space group = No. 216
Calculated formation energy = 0.3646 eV per atom

Unit cell a=5.213 b=5.213 c=5.213 alpha=60.00 beta=60.00 gamma=60.00
Element x y z (fractional)
Cu 0.000 0.000 0.000
Mo 0.374 0.877 0.374
Mo 0.374 0.374 0.877
Ta 0.750 0.750 0.750
Mo 0.877 0.374 0.374
Mo 0.374 0.374 0.374


Record 7
# Ta2CuMo

A geometry-optimized Ta2CuMo structure (PBE-GGA, Alexandria via LeMat-Bulk).

Size of the total moment = 0.0 μB/cell
Crystal system = cubic
Space group = No. 225
Calculated formation energy = 0.0607 eV per atom

Unit cell a=4.516 b=4.516 c=4.516 alpha=60.00 beta=60.00 gamma=60.00
Element x y z (fractional)
Ta 0.250 0.250 0.250
Mo 0.500 0.500 0.500
Ta 0.750 0.750 0.750
Cu 0.000 0.000 0.000


Record 8
# TaCuMo

A geometry-optimized TaCuMo structure (PBE-GGA, Alexandria via LeMat-Bulk).

Size of the total moment = 0.0 μB/cell
Crystal system = tetragonal
Space group = No. 107
Calculated formation energy = 0.1550 eV per atom

Unit cell a=6.606 b=6.606 c=6.606 alpha=156.34 beta=156.34 gamma=33.71
Element x y z (fractional)
Ta 0.658 0.658 0.000
Mo 0.344 0.344 0.000
Cu 0.998 0.998 0.000


Which of these has the lowest calculated formation energy?
number 7


Which formula does entry 8 have?
TaCuMo


calculated formation energy of number 1 (Ta2CuMo)?
0.6341 eV per atom